No. 1
Below is an optimized crystal structure of V2CuNi8, with properties calculated at the GGA-PBE level.

Results
**Energy relative to the lowest polymorph listed for this composition**: 0.000 eV per atom
**DFT formation energy**: -0.01 eV/atom
**VASP energy**: -6.247 eV/atom
**Volume**: 11.65 A^3/atom
**Space-group type**: Immm (71)

The structure in POSCAR format:
```
V2CuNi8
1.0
3.7455 0.0000 -1.1373
-0.7064 5.2292 -2.3265
-0.0240 -0.2230 6.6570
V Cu Ni
2 1 8
direct
0.1959 0.6961 0.3917
0.8041 0.3039 0.6083
0.5000 0.0000 0.0000
0.6435 0.8583 0.2869
0.3563 0.5714 0.7126
0.1657 0.1654 0.3314
0.0001 0.2885 0.0003
0.8343 0.8346 0.6686
0.6437 0.4286 0.2874
0.3565 0.1417 0.7131
0.9999 0.7115 0.9997
```


No. 2
Below is an optimized crystal structure of V3CuNi, with properties calculated at the GGA-PBE level.

Results
**Energy relative to the lowest polymorph listed for this composition**: 0.000 eV per atom
**DFT formation energy**: 1.02 eV/atom
**VASP energy**: -6.424 eV/atom
**Volume**: 16.10 A^3/atom
**Space-group type**: Pm-3m (221)

The structure in POSCAR format:
```
V3CuNi
1.0
-1.6449 -2.9528 -2.6865
3.1769 -2.7278 1.0530
-2.4174 -1.5755 3.2119
Ni Cu V
1 1 3
direct
0.0000 0.0000 0.0000
0.5000 0.5000 0.5000
0.0000 0.5000 0.0000
0.0000 0.0000 0.5000
0.5000 0.0000 0.0000
```


No. 3
Below is an optimized crystal structure of V2CuNi4, with properties calculated at the GGA-PBE level.

Results
**Energy relative to the lowest polymorph listed for this composition**: 0.830 eV per atom
**DFT formation energy**: 0.90 eV/atom
**VASP energy**: -5.596 eV/atom
**Volume**: 15.09 A^3/atom
**Space-group type**: I4/mmm (139)

The structure in POSCAR format:
```
V2CuNi4
1.0
4.2795 0.0000 0.0000
0.0000 4.2795 0.0000
2.1397 2.1397 5.7692
Ni Cu V
4 1 2
direct
0.2007 0.2007 0.5986
0.7993 0.7993 0.4014
0.0000 0.5000 0.0000
0.5000 0.0000 0.0000
0.0000 0.0000 0.0000
0.3898 0.3898 0.2204
0.6102 0.6102 0.7796
```


No. 4
Below is an optimized crystal structure of V2CuNi4, with properties calculated at the GGA-PBE level.

Results
**Energy relative to the lowest polymorph listed for this composition**: 0.000 eV per atom
**DFT formation energy**: 0.07 eV/atom
**VASP energy**: -6.426 eV/atom
**Volume**: 12.25 A^3/atom
**Space-group type**: C2/m (12)

The structure in POSCAR format:
```
V2CuNi4
1.0
6.3865 0.0462 1.0469
-0.4147 6.3703 -1.0431
-1.9319 -4.1855 4.5363
V Cu Ni
4 2 8
direct
0.6250 0.3753 0.7504
0.6250 0.8754 0.2503
0.6249 0.3749 0.2499
0.1249 0.3749 0.7500
0.1123 0.6117 0.5004
0.1377 0.1380 0.9993
0.8828 0.1227 0.2399
0.3672 0.6271 0.2598
0.8828 0.6428 0.7603
0.7581 0.0168 0.7405
0.2760 0.0170 0.2585
0.3672 0.1069 0.7394
0.4919 0.7332 0.7595
0.9740 0.7332 0.2417
```